(1)
## NaSrSmGa (PBE)

Data for a relaxed NaSrSmGa crystal.

POSCAR file:
```
NaSrSmGa
1.0
-2.196 3.082 4.038
-4.686 2.804 -0.896
-4.693 -1.597 2.458
Sr Na Sm Ga
1 1 1 1
direct
0.500 0.500 0.500
0.750 0.750 0.750
0.000 0.000 0.000
0.250 0.250 0.250
```

Output
ρ ... 4.58 g/cm3
Fermi-level density of states ... 3.620 states/eV per cell
ΔH_f (0 K) ... -81 meV per atom
Volume ... 29.955 Å³ per atom
Magnetic moment ... 0.00 μB per formula unit

=====

(2)
## LaTbTm2Hg4 (PBE)

Data for a relaxed LaTbTm2Hg4 crystal.

POSCAR file:
```
LaTbTm2Hg4
1.0
-4.128 -1.451 -2.980
-4.516 -1.532 2.299
-5.727 7.269 -0.310
Tm La Tb Hg
2 1 1 4
direct
0.249 0.249 0.254
0.751 0.751 0.746
0.000 0.000 0.000
0.500 0.500 0.500
0.621 0.621 0.137
0.379 0.379 0.863
0.128 0.128 0.617
0.872 0.872 0.383
```

Output
ρ ... 11.25 g/cm3
Fermi-level density of states ... 7.567 states/eV per cell
ΔH_f (0 K) ... -467 meV per atom
Volume ... 26.521 Å³ per atom
Magnetic moment ... 0.26 μB per formula unit

=====

(3)
## SmLuH2 (PBE)

Data for a relaxed SmLuH2 crystal.

POSCAR file:
```
SmLuH2
1.0
-3.051 -1.305 -1.056
-0.464 -3.448 -0.141
-3.034 -1.552 4.942
H Sm Lu
2 1 1
direct
0.744 0.744 0.767
0.256 0.256 0.233
0.500 0.500 0.500
0.000 0.000 0.000
```

Output
ρ ... 9.15 g/cm3
Fermi-level density of states ... 2.109 states/eV per cell
Final energy ... -4.326 eV per atom
Volume ... 14.849 Å³ per atom
Magnetic moment ... 0.00 μB per formula unit